Entry 1:
## Gd2PuCd (PBE-GGA)

Data for crystalline Gd2PuCd at its relaxed geometry.

Spin magnetization ... 32.59 Bohr magnetons per cell
Energy relative to the lowest polymorph listed for this composition ... 48 kJ/mol of formula units
Density ... 9.9 g/cm3

Geometry as CIF:
```
data_Gd2PuCd
_symmetry_space_group_name_H-M 'F m -3 m'
_symmetry_Int_Tables_number 225
_symmetry_space_group_name_Hall '-F 4 2 3'
_cell_length_a 7.653
_cell_length_b 7.653
_cell_length_c 7.653
_cell_angle_alpha 90.00
_cell_angle_beta 90.00
_cell_angle_gamma 90.00
loop_
_atom_site_label
_atom_site_type_symbol
_atom_site_fract_x
_atom_site_fract_y
_atom_site_fract_z
Gd1 Gd 0.250 0.250 0.250
Pu1 Pu 0.000 0.000 0.000
Cd1 Cd 0.000 0.000 0.500
```


Entry 2:
## In12Ga2Sn5 (PBE-GGA)

Data for crystalline In12Ga2Sn5 at its relaxed geometry.

Spin magnetization ... 0.00 Bohr magnetons per cell
Density ... 6.7 g/cm3
Uncorrected energy ... -57.85 eV per formula unit

Geometry as CIF:
```
data_In12Ga2Sn5
_symmetry_space_group_name_H-M 'C 1 2/m 1'
_symmetry_Int_Tables_number 12
_symmetry_space_group_name_Hall '-C 2y'
_cell_length_a 16.275
_cell_length_b 7.052
_cell_length_c 9.179
_cell_angle_alpha 90.00
_cell_angle_beta 99.44
_cell_angle_gamma 90.00
loop_
_atom_site_label
_atom_site_type_symbol
_atom_site_fract_x
_atom_site_fract_y
_atom_site_fract_z
In1 In 0.021 0.000 0.185
In2 In 0.036 0.500 0.692
In3 In 0.153 0.235 0.996
In4 In 0.159 0.285 0.390
Ga1 Ga 0.000 0.184 0.500
Sn1 Sn 0.000 0.500 0.000
Sn2 Sn 0.160 0.000 0.673
Sn3 Sn 0.227 0.500 0.746
```


Entry 3:
## FePb4 (PBE-GGA)

Data for crystalline FePb4 at its relaxed geometry.

Spin magnetization ... 2.30 Bohr magnetons per cell
Density ... 10.1 g/cm3
Uncorrected energy ... -21.70 eV per formula unit

Geometry as CIF:
```
data_FePb4
_symmetry_space_group_name_H-M 'P m -3 m'
_symmetry_Int_Tables_number 221
_symmetry_space_group_name_Hall '-P 4 2 3'
_cell_length_a 5.253
_cell_length_b 5.253
_cell_length_c 5.253
_cell_angle_alpha 90.00
_cell_angle_beta 90.00
_cell_angle_gamma 90.00
loop_
_atom_site_label
_atom_site_type_symbol
_atom_site_fract_x
_atom_site_fract_y
_atom_site_fract_z
Fe1 Fe 0.000 0.000 0.000
Pb1 Pb 0.000 0.000 0.500
Pb2 Pb 0.500 0.500 0.500
```